1.
First-principles (PBE) data for an optimized crystal structure of ScMn2Pt4, as listed in the Alexandria database.

a b c (Å): 5.383 5.383 5.383
angles (deg): 114.87 106.84 106.84
Each line ends with the local moment (μB).
Fractional coordinates of all 7 atoms:
1 Sc 0.000 0.000 0.000  -0.10
2 Mn 0.500 0.500 0.000  3.76
3 Mn 0.500 0.000 0.500  3.76
4 Pt 0.500 0.000 0.000  0.24
5 Pt 0.500 0.500 0.500  0.24
6 Pt 0.000 0.000 0.500  0.24
7 Pt 0.000 0.500 0.000  0.24

Values from the calculation:
Its symmetry is I4/mmm (139). As for the formation energy from the elements: -3.24 eV per formula unit. As for the density: 13.021 g/cm³. As for the density of states at the Fermi level: 2.9 states/eV/f.u.

---

2.
First-principles (PBE) data for an optimized crystal structure of ScMn2Pt9, as listed in the Alexandria database.

a b c (Å): 3.959 3.959 11.859
angles (deg): 90.00 90.00 90.00
Each line ends with the local moment (μB).
Fractional coordinates of all 12 atoms:
1 Sc 0.000 0.000 0.000  -0.01
2 Mn 0.000 0.000 0.336  3.78
3 Mn 0.000 0.000 0.664  3.78
4 Pt 0.500 0.500 0.000  -0.03
5 Pt 0.500 0.500 0.335  0.10
6 Pt 0.500 0.500 0.665  0.10
7 Pt 0.500 0.000 0.171  0.04
8 Pt 0.500 0.000 0.500  0.14
9 Pt 0.500 0.000 0.829  0.04
10 Pt 0.000 0.500 0.171  0.04
11 Pt 0.000 0.500 0.500  0.14
12 Pt 0.000 0.500 0.829  0.04

Values from the calculation:
Its symmetry is P4/mmm (123). As for the formation energy from the elements: -7.05 eV per formula unit. As for the density: 17.069 g/cm³. As for the density of states at the Fermi level: 12.5 states/eV/f.u.

---

3.
First-principles (PBE) data for an optimized crystal structure of Sc2MnPt, as listed in the Alexandria database.

a b c (Å): 8.385 8.385 8.385
angles (deg): 21.41 21.41 21.41
Each line ends with the local moment (μB).
Fractional coordinates of all 4 atoms:
1 Mn 0.250 0.250 0.250  0.20
2 Pt 0.750 0.750 0.750  0.01
3 Sc 0.994 0.994 0.994  -0.01
4 Sc 0.506 0.506 0.506  -0.01

Values from the calculation:
Its symmetry is R-3m (166). As for the formation energy from the elements: -0.55 eV per formula unit. As for the density: 8.206 g/cm³. As for the density of states at the Fermi level: 6.6 states/eV/f.u.

---

4.
First-principles (PBE) data for an optimized crystal structure of ScMn2Pt, as listed in the Alexandria database.

a b c (Å): 9.098 9.098 9.098
angles (deg): 18.31 18.31 18.31
Each line ends with the local moment (μB).
Fractional coordinates of all 4 atoms:
1 Mn 0.997 0.997 0.997  3.25
2 Mn 0.503 0.503 0.503  3.25
3 Pt 0.250 0.250 0.250  0.26
4 Sc 0.750 0.750 0.750  -0.55

Values from the calculation:
Its symmetry is R-3m (166). As for the formation energy from the elements: 0.44 eV per formula unit. As for the density: 8.952 g/cm³. As for the density of states at the Fermi level: 4.6 states/eV/f.u.